Entry 1:
# La3Ho6Er2Tm

Crystalline La3Ho6Er2Tm at its relaxed geometry (PBE, Alexandria).

Lattice parameters (Å, degrees): 6.1960 10.7328 11.8217 90.00 100.07 90.00
Space group C2/m (No. 12)
Unique sites:
La 0.0000 0.0000 0.0000
La 0.0000 0.3331 0.0000
Ho 0.2474 0.0000 0.7431
Ho 0.2472 0.3334 0.7431
Er 0.0000 0.1666 0.5000
Tm 0.0000 0.5000 0.5000

Summary:
* E_form: 0.026 eV per atom
* D(E_F): 17.2 states/eV/f.u.
* M_tot: 0.0000 μB per atom

=====

Entry 2:
# ZrAlPb

Crystalline ZrAlPb at its relaxed geometry (PBE, Alexandria).

Lattice parameters (Å, degrees): 3.2527 3.9524 10.3981 90.00 90.00 90.00
Space group Imm2 (No. 44)
Unique sites:
Zr 0.0000 0.0000 0.0000
Al 0.0000 0.0000 0.3608
Pb 0.0000 0.0000 0.6886

Summary:
* offset from the most stable computed form: 0 meV per atom
* E_form: -0.047 eV per atom
* D(E_F): 2.0 states/eV/f.u.
* M_tot: 0.0000 μB per atom

=====

Entry 3:
# YSnPt2

Crystalline YSnPt2 at its relaxed geometry (PBE, Alexandria).

Lattice parameters (Å, degrees): 7.1690 4.5148 10.1173 90.00 90.00 90.00
Space group Pnma (No. 62)
Unique sites:
Y 0.2278 0.2500 0.1634
Sn 0.0633 0.7500 0.3652
Pt 0.0440 0.2500 0.8896
Pt 0.2263 0.2500 0.4610

Summary:
* E_form: -0.951 eV per atom
* D(E_F): 1.6 states/eV/f.u.
* M_tot: 0.0000 μB per atom

=====

Entry 4:
# CdSbIr3

Crystalline CdSbIr3 at its relaxed geometry (PBE, Alexandria).

Lattice parameters (Å, degrees): 4.8525 4.8525 4.8525 90.00 90.00 90.00
Space group Pm-3m (No. 221)
Unique sites:
Cd 0.0000 0.0000 0.0000
Sb 0.5000 0.5000 0.5000
Ir 0.0000 0.5000 0.5000

Summary:
* offset from the most stable computed form: 0 meV per atom
* D(E_F): 1.5 states/eV/f.u.
* M_tot: 0.0000 μB per atom

=====

Entry 5:
# ZrAl3Fe8

Crystalline ZrAl3Fe8 at its relaxed geometry (PBE, Alexandria).

Lattice parameters (Å, degrees): 4.7959 4.7959 23.4740 90.00 90.00 120.00
Space group R3m (No. 160, hexagonal axes)
Unique sites:
Zr 0.0000 0.0000 0.0000
Al 0.0000 0.0000 0.3796
Al 0.0000 0.0000 0.5011
Al 0.0000 0.0000 0.8735
Fe 0.0000 0.0000 0.1878
Fe 0.0000 0.0000 0.6883
Fe 0.0042 0.5021 0.4397
Fe 0.1674 0.3348 0.2690

Summary:
* E_form: -0.201 eV per atom
* D(E_F): 10.2 states/eV/f.u.
* M_tot: 1.1426 μB per atom

=====

Entry 6:
# Mn3PtN

Crystalline Mn3PtN at its relaxed geometry (PBE, Alexandria).

Lattice parameters (Å, degrees): 3.7844 3.7844 3.7844 90.00 90.00 90.00
Space group Pm-3m (No. 221)
Unique sites:
Mn 0.0000 0.0000 0.5000
Pt 0.5000 0.5000 0.5000
N 0.0000 0.0000 0.0000

Summary:
* total DFT energy (no corrections): -0.3151 hartree per atom
* D(E_F): 6.8 states/eV/f.u.
* M_tot: 0.0116 μB per atom

=====

Entry 7:
# KMg2Mo

Crystalline KMg2Mo at its relaxed geometry (PBE, Alexandria).

Lattice parameters (Å, degrees): 3.6242 3.6242 8.5720 90.00 90.00 90.00
Space group P4mm (No. 99)
Unique sites:
K 0.0000 0.0000 0.0000
Mg 0.0000 0.0000 0.5587
Mg 0.5000 0.5000 0.3509
Mo 0.5000 0.5000 0.6927

Summary:
* offset from the most stable computed form: 304 meV per atom
* E_form: 0.839 eV per atom
* D(E_F): 2.6 states/eV/f.u.
* M_tot: 0.7691 μB per atom

=====

Entry 8:
# TcSeI2N

Crystalline TcSeI2N at its relaxed geometry (PBE, Alexandria).

Lattice parameters (Å, degrees): 5.5382 5.5382 3.7659 90.00 90.00 90.00
Space group P4/mmm (No. 123)
Unique sites:
Tc 0.0000 0.0000 0.0000
Se 0.5000 0.5000 0.5000
I 0.0000 0.5000 0.0000
N 0.0000 0.0000 0.5000

Summary:
* offset from the most stable computed form: 0 meV per atom
* D(E_F): 4.9 states/eV/f.u.
* M_tot: 0.0000 μB per atom